i) First-principles (PBE) data for a relaxed FeCo2H crystal, as listed in Alexandria via LeMat-Bulk.

Structure (POSCAR):
```
FeCo2H
1.0
0.0000 2.6875 2.6875
2.6875 0.0000 2.6875
2.6875 2.6875 0.0000
H Co Fe
1 2 1
direct
0.0000 0.0000 0.0000 H
0.2500 0.2500 0.2500 Co
0.7500 0.7500 0.7500 Co
0.5000 0.5000 0.5000 Fe
```

Properties
SG: Fm-3m (225)
Crystal system: cubic

ii) First-principles (PBE) data for a relaxed FeCo2H crystal, as listed in Alexandria via LeMat-Bulk.

Structure (POSCAR):
```
FeCo2H
1.0
2.5561 0.0000 0.0000
1.2781 2.2137 0.0000
1.2781 0.7379 6.2298
Fe Co H
1 2 1
direct
0.4995 0.4995 0.5014 Fe
0.0577 0.0577 0.8269 Co
0.2754 0.2754 0.1738 Co
0.6674 0.6674 0.9978 H
```

Properties
SG: R3m (160)
Crystal system: trigonal

The least stable of them is i).